Density functional theory data (PBE with a Hubbard U) for a geometry-optimized Li2UVO6 structure.

Unit cell a=5.3394 b=5.4370 c=7.7247 alpha=90.00 beta=89.39 gamma=90.00
Last column: magnetic moment on the atom in μB.
Atoms (fractional coordinates):
U  0.0000  0.5000  0.5000  0.05
Li  0.9951  0.0085  0.7530  0.00
O  0.6830  0.6861  0.0631  -0.01
O  0.8408  0.2052  0.0585  -0.04
O  0.8843  0.4517  0.7530  -0.01
O  0.1830  0.8139  0.5631  -0.01
O  0.3170  0.3139  0.9369  -0.01
O  0.3408  0.2948  0.5585  -0.04
O  0.1592  0.7948  0.9415  -0.04
O  0.3843  0.0483  0.2530  -0.01
V  0.5000  0.0000  0.5000  1.02
O  0.6592  0.7052  0.4415  -0.04
O  0.1157  0.5483  0.2470  -0.01
Li  0.4951  0.4915  0.2530  0.00
O  0.6157  0.9517  0.7470  -0.01
V  0.0000  0.5000  0.0000  1.02
Li  0.0049  0.9915  0.2470  0.00
Li  0.5049  0.5085  0.7470  0.00
U  0.5000  0.0000  0.0000  0.05
O  0.8170  0.1861  0.4369  -0.01

As for the total energy: -153.9 eV per cell.